# 1
LiLa2CoPb | GGA-PBE | optimized geometry

POSCAR file:
```
LiLa2CoPb
1.0
5.232 0.000 0.000
0.000 5.232 0.000
0.000 0.000 4.879
Li La Co Pb
1 2 1 1
Cartesian
0.000 0.000 0.000 Li
0.000 2.616 2.440 La
2.616 0.000 2.440 La
0.000 0.000 2.440 Co
2.616 2.616 0.000 Pb
```

Energy of formation   -224.0 meV/atom
Magnetic moment   0.000 μB per formula unit
Excess energy over the best structure of this formula in the dataset   0.000 eV per atom

=====

# 2
LiLa2CoPb | GGA-PBE | optimized geometry

POSCAR file:
```
LiLa2CoPb
1.0
5.318 0.000 0.000
0.000 5.318 0.000
0.000 0.000 5.080
Li La Co Pb
1 2 1 1
Cartesian
0.000 0.000 0.000 Li
0.000 2.659 2.540 La
2.659 0.000 2.540 La
2.659 2.659 2.540 Co
2.659 2.659 0.000 Pb
```

Energy of formation   -154.8 meV/atom
Magnetic moment   0.000 μB per formula unit
Excess energy over the best structure of this formula in the dataset   0.069 eV per atom